No. 1
A geometry-optimized LiLaErRu structure. Source: Alexandria, functional PBE.

The theoretical density comes out at 7.72 Mg/m³. As for the magnetic moment: 0.02 μB/cell. The density of states at the Fermi level comes out at 10.321 states/eV/cell. For the formation energy, the calculation gives -201.1 meV per atom. The energy is -5.37 eV/atom.

The space group is F-43m (No. 216) and the conventional cell measures 7.0902, 7.0902 and 7.0902 Å, with angles of 90.00, 90.00 and 90.00 degrees. The inequivalent atoms are Li at (0.0000, 0.0000, 0.0000), La at (0.2500, 0.2500, 0.2500), Er at (0.2500, 0.2500, 0.7500) and Ru at (0.0000, 0.0000, 0.5000).

=====

No. 2
A geometry-optimized Dy5Tm3 structure. Source: Alexandria, functional PBE.

The theoretical density comes out at 8.78 Mg/m³. As for the magnetic moment: 0.00 μB/cell. The density of states at the Fermi level comes out at 12.914 states/eV/cell. For the formation energy, the calculation gives 3.3 meV per atom. The energy is -4.55 eV/atom.

The space group is Pmm2 (No. 25) and the conventional cell measures 3.5949, 5.5722 and 12.4502 Å, with angles of 90.00, 90.00 and 90.00 degrees. The inequivalent atoms are Dy at (0.0000, 0.0000, 0.0000), Dy at (0.0000, 0.0000, 0.4958), Dy at (0.0000, 0.5000, 0.8318), Dy at (0.5000, 0.0000, 0.7482), Dy at (0.5000, 0.5000, 0.5788), Tm at (0.0000, 0.5000, 0.3292), Tm at (0.5000, 0.0000, 0.2472) and Tm at (0.5000, 0.5000, 0.0825).

=====

No. 3
A geometry-optimized Sm2ZnGa4Au3 structure. Source: Alexandria, functional PBE.

The theoretical density comes out at 10.18 Mg/m³. As for the magnetic moment: 0.00 μB/cell. The density of states at the Fermi level comes out at 5.582 states/eV/cell. For the formation energy, the calculation gives -605.0 meV per atom. The energy is -3.87 eV/atom.

The space group is P-4m2 (No. 115) and the conventional cell measures 4.2877, 4.2877 and 10.9682 Å, with angles of 90.00, 90.00 and 90.00 degrees. The inequivalent atoms are Sm at (0.0000, 0.5000, 0.2433), Zn at (0.5000, 0.5000, 0.0000), Ga at (0.0000, 0.0000, 0.5000), Ga at (0.0000, 0.5000, 0.8653), Ga at (0.5000, 0.5000, 0.5000), Au at (0.0000, 0.0000, 0.0000) and Au at (0.0000, 0.5000, 0.6367).

=====

No. 4
A geometry-optimized NaIn2Hg9 structure. Source: Alexandria, functional PBE.

The theoretical density comes out at 10.61 Mg/m³. As for the magnetic moment: 0.00 μB/cell. The density of states at the Fermi level comes out at 4.488 states/eV/cell. For the formation energy, the calculation gives -46.8 meV per atom. The energy is -0.84 eV/atom.

The space group is P6/mmm (No. 191) and the conventional cell measures 10.5965, 10.5965 and 3.3115 Å, with angles of 90.00, 90.00 and 120.00 degrees. The inequivalent atoms are Na at (0.0000, 0.0000, 0.0000), In at (0.3333, 0.6667, 0.0000), Hg at (0.0000, 0.5000, 0.0000) and Hg at (0.1690, 0.3380, 0.5000).

=====

No. 5
A geometry-optimized TaZnIn structure. Source: Alexandria, functional PBE.

The theoretical density comes out at 11.01 Mg/m³. As for the magnetic moment: 0.00 μB/cell. The density of states at the Fermi level comes out at 2.771 states/eV/cell. For the formation energy, the calculation gives 295.3 meV per atom. The energy is -4.99 eV/atom.

The space group is P-6m2 (No. 187) and the conventional cell measures 4.6192, 4.6192 and 2.9490 Å, with angles of 90.00, 90.00 and 120.00 degrees. The inequivalent atoms are Ta at (0.0000, 0.0000, 0.0000), Zn at (0.6667, 0.3333, 0.5000) and In at (0.3333, 0.6667, 0.5000).

=====

No. 6
A geometry-optimized LiEuBi structure. Source: Alexandria, functional PBE.

The theoretical density comes out at 7.02 Mg/m³. As for the magnetic moment: 6.99 μB/cell. The density of states at the Fermi level comes out at 12.126 states/eV/cell. For the formation energy, the calculation gives -695.6 meV per atom. The energy is -6.05 eV/atom.

The space group is P-6m2 (No. 187) and the conventional cell measures 4.7429, 4.7429 and 4.4643 Å, with angles of 90.00, 90.00 and 120.00 degrees. The inequivalent atoms are Li at (0.0000, 0.0000, 0.0000), Eu at (0.6667, 0.3333, 0.5000) and Bi at (0.3333, 0.6667, 0.0000).

=====

No. 7
A geometry-optimized PHPb2 structure. Source: Alexandria, functional PBE.

The theoretical density comes out at 7.18 Mg/m³. As for the magnetic moment: 0.00 μB/cell. The density of states at the Fermi level comes out at 0.138 states/eV/cell. The energy is -3.74 eV/atom.

The space group is I-42d (No. 122) and the conventional cell measures 5.9118, 5.9118 and 11.8101 Å, with angles of 90.00, 90.00 and 90.00 degrees. The inequivalent atoms are P at (0.0000, 0.0000, 0.0000), H at (0.0000, 0.0000, 0.5000) and Pb at (0.1906, 0.2500, 0.6250).

=====

No. 8
A geometry-optimized AcDyY3Tm structure. Source: Alexandria, functional PBE.

The theoretical density comes out at 6.35 Mg/m³. As for the magnetic moment: 0.00 μB/cell. The density of states at the Fermi level comes out at 42.391 states/eV/cell. For the formation energy, the calculation gives 222.6 meV per atom. The energy is -5.21 eV/atom.

The space group is C2/m (No. 12) and the conventional cell measures 23.0400, 5.3984 and 7.0086 Å, with angles of 90.00, 98.25 and 90.00 degrees. The inequivalent atoms are Ac at (0.1271, 0.0000, 0.4821), Dy at (0.0750, 0.5000, 0.1139), Y at (0.0224, 0.0000, 0.7833), Y at (0.1799, 0.5000, 0.7847), Y at (0.2253, 0.5000, 0.3085) and Tm at (0.1675, 0.0000, 0.0243).

=====

No. 9
A geometry-optimized Y2Tl2I structure. Source: Alexandria, functional PBE.

The theoretical density comes out at 7.82 Mg/m³. For the uncorrected formation energy, the calculation gives -468 meV/atom. As for the magnetic moment: 0.00 μB/cell. The density of states at the Fermi level comes out at 5.131 states/eV/cell. The energy is -4.31 eV/atom.

The space group is P4/mbm (No. 127) and the conventional cell measures 8.0797, 8.0797 and 4.6426 Å, with angles of 90.00, 90.00 and 90.00 degrees. The inequivalent atoms are Y at (0.1583, 0.3417, 0.0000), Tl at (0.1418, 0.6418, 0.5000) and I at (0.0000, 0.0000, 0.0000).